1.
This record from the Alexandria database describes LiTc2Pt after structural relaxation. The functional is GGA-PBE.

Results
Energy above the most stable polymorph in this dataset = 0 meV per atom
Crystal system = tetragonal

Lattice parameters (Å, degrees): 2.999 2.999 6.169 90.00 90.00 90.00
Atoms (fractional coordinates):
Li (0.000, 0.000, 0.000)
Tc (0.000, 0.000, 0.522)
Tc (0.500, 0.500, 0.751)
Pt (0.500, 0.500, 0.212)



2.
This record from the Alexandria database describes LiTc2Pt after structural relaxation. The functional is GGA-PBE.

Results
Energy above the most stable polymorph in this dataset = 269 meV per atom
Crystal system = trigonal

Lattice parameters (Å, degrees): 9.469 9.469 9.469 16.55 16.55 16.55
Atoms (fractional coordinates):
Li (0.000, 0.000, 0.000)
Tc (0.248, 0.248, 0.248)
Tc (0.752, 0.752, 0.752)
Pt (0.500, 0.500, 0.500)



3.
This record from the Alexandria database describes LiTc2Pt after structural relaxation. The functional is GGA-PBE.

Results
Energy above the most stable polymorph in this dataset = 75 meV per atom
Crystal system = cubic

Lattice parameters (Å, degrees): 4.305 4.305 4.305 60.00 60.00 60.00
Atoms (fractional coordinates):
Li (0.000, 0.000, 0.000)
Tc (0.500, 0.500, 0.500)
Tc (0.750, 0.750, 0.750)
Pt (0.250, 0.250, 0.250)



4.
This record from the Alexandria database describes LiTc2Pt after structural relaxation. The functional is GGA-PBE.

Results
Energy above the most stable polymorph in this dataset = 12 meV per atom
Crystal system = orthorhombic

Lattice parameters (Å, degrees): 2.713 3.842 5.444 90.00 90.00 90.00
Atoms (fractional coordinates):
Li (0.000, 0.000, 0.000)
Tc (0.000, 0.000, 0.504)
Tc (0.500, 0.500, 0.727)
Pt (0.500, 0.500, 0.210)



5.
This record from the Alexandria database describes LiTc2Pt after structural relaxation. The functional is GGA-PBE.

Results
Energy above the most stable polymorph in this dataset = 65 meV per atom
Crystal system = monoclinic

Lattice parameters (Å, degrees): 4.999 4.999 2.646 90.05 90.05 120.47
Atoms (fractional coordinates):
Li (0.000, 0.000, 0.000)
Tc (0.000, 0.500, 0.500)
Tc (0.500, 0.000, 0.500)
Pt (0.500, 0.500, 0.000)



6.
This record from the Alexandria database describes LiTc2Pt after structural relaxation. The functional is GGA-PBE.

Results
Energy above the most stable polymorph in this dataset = 52 meV per atom
Crystal system = tetragonal

Lattice parameters (Å, degrees): 3.581 3.581 4.389 90.00 90.00 90.00
Atoms (fractional coordinates):
Li (0.000, 0.000, 0.000)
Tc (0.000, 0.500, 0.500)
Tc (0.500, 0.000, 0.500)
Pt (0.500, 0.500, 0.000)



7.
This record from the Alexandria database describes LiTc2Pt after structural relaxation. The functional is GGA-PBE.

Results
Energy above the most stable polymorph in this dataset = 0 meV per atom
Crystal system = orthorhombic

Lattice parameters (Å, degrees): 4.996 4.996 4.996 141.09 134.04 61.75
Atoms (fractional coordinates):
Li (0.000, 0.000, 0.000)
Tc (0.245, 0.745, 0.500)
Tc (0.755, 0.255, 0.500)
Pt (0.500, 0.500, 0.000)



8.
This record from the Alexandria database describes LiTc2Pt after structural relaxation. The functional is GGA-PBE.

Results
Energy above the most stable polymorph in this dataset = 272 meV per atom
Crystal system = tetragonal

Lattice parameters (Å, degrees): 2.627 2.627 8.572 90.00 90.00 90.00
Atoms (fractional coordinates):
Li (0.000, 0.000, 0.000)
Tc (0.500, 0.500, 0.254)
Tc (0.500, 0.500, 0.746)
Pt (0.000, 0.000, 0.500)



9.
This record from the Alexandria database describes LiTcPtW after structural relaxation. The functional is GGA-PBE.

Results
Crystal system = cubic

Lattice parameters (Å, degrees): 4.338 4.338 4.338 60.00 60.00 60.00
Atoms (fractional coordinates):
Li (0.000, 0.000, 0.000)
Tc (0.250, 0.250, 0.250)
Pt (0.750, 0.750, 0.750)
W (0.500, 0.500, 0.500)



10.
This record from the Alexandria database describes Li2TePt after structural relaxation. The functional is GGA-PBE.

Results
Formation energy (no corrections) = -0.4990 eV/atom
Crystal system = monoclinic

Lattice parameters (Å, degrees): 6.086 6.086 4.490 107.13 107.13 28.60
Atoms (fractional coordinates):
Li (0.000, 0.000, 0.000)
Li (0.176, 0.176, 0.636)
Te (0.773, 0.773, 0.218)
Pt (0.473, 0.473, 0.482)



11.
This record from the Alexandria database describes Li4TePt after structural relaxation. The functional is GGA-PBE.

Results
Formation energy (no corrections) = -0.2812 eV/atom
Crystal system = cubic

Lattice parameters (Å, degrees): 5.083 5.083 5.083 60.00 60.00 60.00
Atoms (fractional coordinates):
Li (0.124, 0.124, 0.124)
Li (0.124, 0.124, 0.629)
Li (0.124, 0.629, 0.124)
Li (0.629, 0.124, 0.124)
Te (0.500, 0.500, 0.500)
Pt (0.750, 0.750, 0.750)



12.
This record from the Alexandria database describes Li2TePt after structural relaxation. The functional is GGA-PBE.

Results
Formation energy (no corrections) = -0.6305 eV/atom
Crystal system = tetragonal

Lattice parameters (Å, degrees): 4.699 4.699 4.699 125.06 125.06 81.44
Atoms (fractional coordinates):
Li (0.000, 0.000, 0.000)
Li (0.750, 0.250, 0.500)
Te (0.250, 0.750, 0.500)
Pt (0.500, 0.500, 0.000)



13.
This record from the Alexandria database describes LiTePt after structural relaxation. The functional is GGA-PBE.

Results
Formation energy (no corrections) = -0.1749 eV/atom
Energy above the most stable polymorph in this dataset = 458 meV per atom
Crystal system = tetragonal

Lattice parameters (Å, degrees): 6.197 6.197 6.197 150.68 150.68 41.94
Atoms (fractional coordinates):
Li (0.000, 0.000, 0.000)
Te (0.701, 0.701, 0.000)
Pt (0.365, 0.365, 0.000)



14.
This record from the Alexandria database describes Li2TePt after structural relaxation. The functional is GGA-PBE.

Results
Formation energy (no corrections) = -0.6265 eV/atom
Crystal system = tetragonal

Lattice parameters (Å, degrees): 4.938 4.938 4.938 130.98 130.98 71.84
Atoms (fractional coordinates):
Li (0.250, 0.750, 0.500)
Li (0.750, 0.250, 0.500)
Te (0.000, 0.000, 0.000)
Pt (0.500, 0.500, 0.000)



15.
This record from the Alexandria database describes Li2TePt2 after structural relaxation. The functional is GGA-PBE.

Results
Formation energy (no corrections) = -0.4072 eV/atom
Energy above the most stable polymorph in this dataset = 0 meV per atom
Crystal system = tetragonal

Lattice parameters (Å, degrees): 7.438 7.438 2.968 90.00 90.00 90.00
Atoms (fractional coordinates):
Li (0.125, 0.375, 0.000)
Li (0.375, 0.875, 0.000)
Li (0.625, 0.125, 0.000)
Li (0.875, 0.625, 0.000)
Te (0.000, 0.000, 0.500)
Te (0.500, 0.500, 0.500)
Pt (0.172, 0.672, 0.500)
Pt (0.328, 0.172, 0.500)
Pt (0.672, 0.828, 0.500)
Pt (0.828, 0.328, 0.500)



16.
This record from the Alexandria database describes Li3TePt after structural relaxation. The functional is GGA-PBE.

Results
Formation energy (no corrections) = -0.2845 eV/atom
Energy above the most stable polymorph in this dataset = 0 meV per atom
Crystal system = cubic

Lattice parameters (Å, degrees): 4.714 4.714 4.714 90.00 90.00 90.00
Atoms (fractional coordinates):
Li (0.000, 0.000, 0.500)
Li (0.000, 0.500, 0.000)
Li (0.500, 0.000, 0.000)
Te (0.500, 0.500, 0.500)
Pt (0.000, 0.000, 0.000)



17.
This record from the Alexandria database describes Li2TePt after structural relaxation. The functional is GGA-PBE.

Results
Formation energy (no corrections) = -0.6491 eV/atom
Crystal system = tetragonal

Lattice parameters (Å, degrees): 4.035 4.035 4.115 90.00 90.00 90.00
Atoms (fractional coordinates):
Li (0.000, 0.500, 0.000)
Li (0.500, 0.000, 0.000)
Te (0.000, 0.000, 0.500)
Pt (0.500, 0.500, 0.500)



18.
This record from the Alexandria database describes LiTePt after structural relaxation. The functional is GGA-PBE.

Results
Formation energy (no corrections) = -0.4683 eV/atom
Energy above the most stable polymorph in this dataset = 164 meV per atom
Crystal system = hexagonal

Lattice parameters (Å, degrees): 4.534 4.534 3.338 90.00 90.00 120.00
Atoms (fractional coordinates):
Li (0.000, 0.000, 0.000)
Te (0.667, 0.333, 0.500)
Pt (0.333, 0.667, 0.500)



19.
This record from the Alexandria database describes LiTe2Pt2 after structural relaxation. The functional is GGA-PBE.

Results
Formation energy (no corrections) = -0.2185 eV/atom
Energy above the most stable polymorph in this dataset = 74 meV per atom
Crystal system = tetragonal

Lattice parameters (Å, degrees): 7.683 7.683 7.683 150.08 150.08 42.83
Atoms (fractional coordinates):
Li (0.000, 0.000, 0.000)
Te (0.384, 0.384, 0.000)
Te (0.616, 0.616, 0.000)
Pt (0.250, 0.750, 0.500)
Pt (0.750, 0.250, 0.500)



20.
This record from the Alexandria database describes Li2TePt after structural relaxation. The functional is GGA-PBE.

Results
Formation energy (no corrections) = -0.3754 eV/atom
Crystal system = orthorhombic

Lattice parameters (Å, degrees): 3.056 4.110 5.611 90.00 90.00 90.00
Atoms (fractional coordinates):
Li (0.000, 0.000, 0.000)
Li (0.500, 0.500, 0.270)
Te (0.500, 0.500, 0.752)
Pt (0.000, 0.000, 0.467)



21.
This record from the Alexandria database describes LiTePt after structural relaxation. The functional is GGA-PBE.

Results
Formation energy (no corrections) = -0.3943 eV/atom
Energy above the most stable polymorph in this dataset = 238 meV per atom
Crystal system = tetragonal

Lattice parameters (Å, degrees): 4.762 4.762 4.762 134.23 134.23 66.72
Atoms (fractional coordinates):
Li (0.000, 0.000, 0.000)
Te (0.326, 0.326, 0.000)
Pt (0.666, 0.666, 0.000)



22.
This record from the Alexandria database describes LiTePt after structural relaxation. The functional is GGA-PBE.

Results
Formation energy (no corrections) = -0.6327 eV/atom
Energy above the most stable polymorph in this dataset = 0 meV per atom
Crystal system = cubic

Lattice parameters (Å, degrees): 4.399 4.399 4.399 60.00 60.00 60.00
Atoms (fractional coordinates):
Li (0.000, 0.000, 0.000)
Te (0.500, 0.500, 0.500)
Pt (0.750, 0.750, 0.750)



23.
This record from the Alexandria database describes Li2TePt after structural relaxation. The functional is GGA-PBE.

Results
Formation energy (no corrections) = -0.5620 eV/atom
Crystal system = monoclinic

Lattice parameters (Å, degrees): 3.066 4.003 5.579 90.00 90.15 90.00
Atoms (fractional coordinates):
Li (0.000, 0.000, 0.225)
Li (0.000, 0.000, 0.775)
Te (0.500, 0.500, 0.500)
Pt (0.500, 0.500, 0.000)



24.
This record from the Alexandria database describes Li2TePt after structural relaxation. The functional is GGA-PBE.

Results
Formation energy (no corrections) = -0.4508 eV/atom
Crystal system = tetragonal

Lattice parameters (Å, degrees): 3.056 3.056 7.825 90.00 90.00 90.00
Atoms (fractional coordinates):
Li (0.000, 0.000, 0.199)
Li (0.000, 0.000, 0.801)
Te (0.500, 0.500, 0.500)
Pt (0.500, 0.500, 0.000)



25.
This record from the Alexandria database describes LiTePt after structural relaxation. The functional is GGA-PBE.

Results
Formation energy (no corrections) = -0.5112 eV/atom
Energy above the most stable polymorph in this dataset = 121 meV per atom
Crystal system = triclinic

Lattice parameters (Å, degrees): 6.438 6.547 7.328 107.83 103.29 110.45
Atoms (fractional coordinates):
Li (0.000, 0.000, 0.000)
Li (0.012, 0.537, 0.293)
Li (0.543, 0.549, 0.149)
Li (0.612, 0.940, 0.548)
Te (0.271, 0.961, 0.758)
Te (0.339, 0.388, 0.425)
Te (0.700, 0.045, 0.216)
Te (0.804, 0.479, 0.862)
Pt (0.042, 0.965, 0.413)
Pt (0.245, 0.774, 0.111)
Pt (0.520, 0.717, 0.823)
Pt (0.820, 0.653, 0.573)



26.
This record from the Alexandria database describes LiTePt4 after structural relaxation. The functional is GGA-PBE.

Results
Formation energy (no corrections) = -0.1304 eV/atom
Crystal system = cubic

Lattice parameters (Å, degrees): 5.351 5.351 5.351 60.00 60.00 60.00
Atoms (fractional coordinates):
Li (0.000, 0.000, 0.000)
Te (0.250, 0.250, 0.250)
Pt (0.125, 0.625, 0.625)
Pt (0.625, 0.125, 0.625)
Pt (0.625, 0.625, 0.125)
Pt (0.625, 0.625, 0.625)



27.
This record from the Alexandria database describes LiTe2Pt2 after structural relaxation. The functional is GGA-PBE.

Results
Formation energy (no corrections) = -0.2928 eV/atom
Energy above the most stable polymorph in this dataset = 0 meV per atom
Crystal system = tetragonal

Lattice parameters (Å, degrees): 5.620 5.620 5.620 124.59 124.59 82.22
Atoms (fractional coordinates):
Li (0.000, 0.000, 0.000)
Te (0.250, 0.750, 0.500)
Te (0.750, 0.250, 0.500)
Pt (0.333, 0.333, 0.000)
Pt (0.667, 0.667, 0.000)



28.
This record from the Alexandria database describes Li2TePt after structural relaxation. The functional is GGA-PBE.

Results
Formation energy (no corrections) = -0.6273 eV/atom
Crystal system = cubic

Lattice parameters (Å, degrees): 4.562 4.562 4.562 60.00 60.00 60.00
Atoms (fractional coordinates):
Li (0.000, 0.000, 0.000)
Li (0.250, 0.250, 0.250)
Te (0.750, 0.750, 0.750)
Pt (0.500, 0.500, 0.500)



29.
This record from the Alexandria database describes Li2TePt after structural relaxation. The functional is GGA-PBE.

Results
Formation energy (no corrections) = -0.4500 eV/atom
Crystal system = monoclinic

Lattice parameters (Å, degrees): 4.588 4.588 5.347 99.79 99.79 39.39
Atoms (fractional coordinates):
Li (0.244, 0.244, 0.224)
Li (0.756, 0.756, 0.776)
Te (0.000, 0.000, 0.500)
Pt (0.500, 0.500, 0.000)



One value per record, in order, for N(E_F): 2.7 6.0 3.6 3.7 2.8 3.6 2.7 4.5 0.7 0.9 1.7 0.6 1.7 0.7 3.3 4.1 0.3 1.4 3.0 1.8 1.4 1.5 1.2 1.5 1.6 7.1 2.4 1.4 1.1 states/eV per cell.
One value per record, in order, for total DFT energy (no corrections): -28.93 -27.86 -28.63 -28.88 -28.67 -28.72 -28.93 -27.84 -31.85 -15.01 -18.52 -15.53 -11.62 -15.52 -21.09 -16.35 -15.61 -12.50 -21.37 -14.51 -12.28 -12.99 -15.26 -14.81 -12.63 -30.00 -21.74 -15.52 -14.81 eV per formula unit.